# LaCeMn4Si4 GGA-PBE optimized geometry
data_LaCeMn4Si4
_cell_length_a 3.972
_cell_length_b 3.972
_cell_length_c 10.505
_cell_angle_alpha 90.00
_cell_angle_beta 90.00
_cell_angle_gamma 90.00
_symmetry_space_group_name_H-M 'P 1'
_symmetry_Int_Tables_number 1
loop_
_symmetry_equiv_pos_as_xyz
'x,y,z'
loop_
_atom_site_label
_atom_site_fract_x
_atom_site_fract_y
_atom_site_fract_z
La1 0.500 0.500 0.500
Ce1 0.000 0.000 0.000
Mn1 0.000 0.500 0.244
Mn2 0.500 0.000 0.756
Mn3 0.500 0.000 0.244
Mn4 0.000 0.500 0.756
Si1 0.500 0.500 0.120
Si2 0.000 0.000 0.630
Si3 0.000 0.000 0.370
Si4 0.500 0.500 0.880
# Energy relative to the elements, uncorrected = -0.558 eV per atom
# Space-group type = P4/mmm (123)
# DFT total energy = -7.482 eV/atom